1.
Material: FeReIO2
Method: DFT, PBE with a Hubbard U
State: relaxed

Cell and atoms, written as extended XYZ:
```
5
Lattice="3.847 0.000 0.000 0.000 3.847 0.000 0.000 0.000 6.447" Properties=species:S:1:pos:R:3 pbc="T T T"
Fe 0.000 0.000 0.000
Re 1.923 1.923 3.223
I 1.923 1.923 0.000
O 0.000 1.923 3.223
O 1.923 0.000 3.223
```

Properties
crystal system	tetragonal
space group	P4/mmm, No. 123
electronic total energy	-6.19	eV per atom
spin magnetization	3.78	μB per formula unit



2.
Material: Fe2RhIO
Method: DFT, PBE with a Hubbard U
State: relaxed

Cell and atoms, written as extended XYZ:
```
5
Lattice="5.061 0.000 0.000 0.000 5.061 0.000 0.000 0.000 4.774" Properties=species:S:1:pos:R:3 pbc="T T T"
Fe 0.000 2.531 0.000
Fe 2.531 0.000 0.000
Rh 0.000 0.000 2.387
I 0.000 0.000 0.000
O 2.531 2.531 2.387
```

Properties
crystal system	tetragonal
space group	P4/mmm, No. 123
electronic total energy	-3.31	eV per atom
spin magnetization	8.03	μB per formula unit



3.
Material: FeRhIO2
Method: DFT, PBE with a Hubbard U
State: relaxed

Cell and atoms, written as extended XYZ:
```
5
Lattice="3.850 0.000 0.000 0.000 3.850 0.000 0.000 0.000 7.053" Properties=species:S:1:pos:R:3 pbc="T T T"
Fe 0.000 0.000 0.000
Rh 1.925 1.925 3.526
I 1.925 1.925 0.000
O 0.000 1.925 3.526
O 1.925 0.000 3.526
```

Properties
crystal system	tetragonal
space group	P4/mmm, No. 123
electronic total energy	-4.80	eV per atom
spin magnetization	4.38	μB per formula unit



4.
Material: FeRhIO2
Method: DFT, PBE with a Hubbard U
State: relaxed

Cell and atoms, written as extended XYZ:
```
5
Lattice="3.781 0.000 0.000 0.000 3.781 0.000 0.000 0.000 6.343" Properties=species:S:1:pos:R:3 pbc="T T T"
Fe 0.000 0.000 0.000
Rh 1.891 1.891 3.172
I 0.000 0.000 3.172
O 0.000 1.891 0.000
O 1.891 0.000 0.000
```

Properties
crystal system	tetragonal
space group	P4/mmm, No. 123
electronic total energy	-4.92	eV per atom
spin magnetization	5.74	μB per formula unit



5.
Material: FeRuIO2
Method: DFT, PBE with a Hubbard U
State: relaxed

Cell and atoms, written as extended XYZ:
```
5
Lattice="3.792 0.000 0.000 0.000 3.792 0.000 0.000 0.000 6.456" Properties=species:S:1:pos:R:3 pbc="T T T"
Fe 0.000 0.000 0.000
Ru 1.896 1.896 3.228
I 0.000 0.000 3.228
O 0.000 1.896 0.000
O 1.896 0.000 0.000
```

Properties
crystal system	tetragonal
space group	P4/mmm, No. 123
electronic total energy	-5.06	eV per atom
spin magnetization	6.99	μB per formula unit



6.
Material: FeRuIO2
Method: DFT, PBE with a Hubbard U
State: relaxed

Cell and atoms, written as extended XYZ:
```
5
Lattice="3.810 0.000 0.000 0.000 3.810 0.000 0.000 0.000 7.367" Properties=species:S:1:pos:R:3 pbc="T T T"
Fe 0.000 0.000 0.000
Ru 1.905 1.905 3.683
I 1.905 1.905 0.000
O 0.000 1.905 3.683
O 1.905 0.000 3.683
```

Properties
crystal system	tetragonal
space group	P4/mmm, No. 123
electronic total energy	-5.33	eV per atom
spin magnetization	4.20	μB per formula unit



7.
Material: FeSIO2
Method: DFT, PBE with a Hubbard U
State: relaxed

Cell and atoms, written as extended XYZ:
```
5
Lattice="3.804 0.000 0.000 0.000 3.804 0.000 0.000 0.000 7.018" Properties=species:S:1:pos:R:3 pbc="T T T"
Fe 0.000 0.000 0.000
S 1.902 1.902 3.509
I 0.000 0.000 3.509
O 0.000 1.902 0.000
O 1.902 0.000 0.000
```

Properties
crystal system	tetragonal
space group	P4/mmm, No. 123
electronic total energy	-4.33	eV per atom
spin magnetization	5.31	μB per formula unit



8.
Material: FeSI2O
Method: DFT, PBE with a Hubbard U
State: relaxed

Cell and atoms, written as extended XYZ:
```
5
Lattice="5.633 0.000 0.000 0.000 5.633 0.000 0.000 0.000 3.628" Properties=species:S:1:pos:R:3 pbc="T T T"
Fe 0.000 0.000 0.000
S 2.817 2.817 1.814
I 0.000 2.817 0.000
I 2.817 0.000 0.000
O 0.000 0.000 1.814
```

Properties
crystal system	tetragonal
space group	P4/mmm, No. 123
electronic total energy	-3.37	eV per atom
spin magnetization	3.25	μB per formula unit



9.
Material: FeSIO2
Method: DFT, PBE with a Hubbard U
State: relaxed

Cell and atoms, written as extended XYZ:
```
5
Lattice="3.903 0.000 0.000 0.000 3.903 0.000 0.000 0.000 5.343" Properties=species:S:1:pos:R:3 pbc="T T T"
Fe 0.000 0.000 0.000
S 1.952 1.952 2.671
I 1.952 1.952 0.000
O 0.000 1.952 2.671
O 1.952 0.000 2.671
```

Properties
crystal system	tetragonal
space group	P4/mmm, No. 123
electronic total energy	-3.86	eV per atom
spin magnetization	4.05	μB per formula unit



10.
Material: FeSI2O
Method: DFT, PBE with a Hubbard U
State: relaxed

Cell and atoms, written as extended XYZ:
```
5
Lattice="5.688 0.000 0.000 0.000 5.688 0.000 0.000 0.000 3.667" Properties=species:S:1:pos:R:3 pbc="T T T"
Fe 0.000 0.000 0.000
S 2.844 2.844 1.834
I 0.000 2.844 1.834
I 2.844 0.000 1.834
O 2.844 2.844 0.000
```

Properties
crystal system	tetragonal
space group	P4/mmm, No. 123
electronic total energy	-3.15	eV per atom
spin magnetization	4.39	μB per formula unit



11.
Material: FeSb2IO
Method: DFT, PBE with a Hubbard U
State: relaxed

Cell and atoms, written as extended XYZ:
```
5
Lattice="4.988 0.000 0.000 0.000 4.988 0.000 0.000 0.000 5.598" Properties=species:S:1:pos:R:3 pbc="T T T"
Fe 0.000 0.000 0.000
Sb 0.000 2.494 0.000
Sb 2.494 0.000 0.000
I 0.000 0.000 2.799
O 2.494 2.494 2.799
```

Properties
crystal system	tetragonal
space group	P4/mmm, No. 123
electronic total energy	-3.07	eV per atom
spin magnetization	3.53	μB per formula unit



12.
Material: FeSb2IO
Method: DFT, PBE with a Hubbard U
State: relaxed

Cell and atoms, written as extended XYZ:
```
5
Lattice="4.465 0.000 0.000 0.000 4.465 0.000 0.000 0.000 6.705" Properties=species:S:1:pos:R:3 pbc="T T T"
Fe 0.000 0.000 0.000
Sb 0.000 2.232 3.352
Sb 2.232 0.000 3.352
I 2.232 2.232 0.000
O 2.232 2.232 3.352
```

Properties
crystal system	tetragonal
space group	P4/mmm, No. 123
electronic total energy	-3.80	eV per atom
spin magnetization	4.08	μB per formula unit